1.
Here is BeVN2F after structural relaxation from the Alexandria database. Energies are from GGA+U.

Cell lengths 3.5500, 3.5500, 3.3780 Å; angles 90.00, 90.00, 90.00 degrees
Atoms (fractional coordinates):
1 Be 0.0000 0.0000 0.0000
2 V 0.5000 0.5000 0.5000
3 N 0.0000 0.5000 0.0000
4 N 0.5000 0.0000 0.0000
5 F 0.0000 0.0000 0.5000

Values from the calculation:
V   8.51 A^3/atom
E_tot   -29.65 eV per formula unit



2.
Here is BeVNF2 after structural relaxation from the Alexandria database. Energies are from GGA+U.

Cell lengths 3.8987, 3.8987, 3.8870 Å; angles 90.00, 90.00, 90.00 degrees
Atoms (fractional coordinates):
1 Be 0.0000 0.0000 0.0000
2 V 0.5000 0.5000 0.5000
3 N 0.5000 0.5000 0.0000
4 F 0.0000 0.5000 0.5000
5 F 0.5000 0.0000 0.5000

Values from the calculation:
V   11.82 A^3/atom
E_tot   -25.40 eV per formula unit



3.
Here is BeWN2F after structural relaxation from the Alexandria database. Energies are from GGA+U.

Cell lengths 3.7256, 3.7256, 3.1881 Å; angles 90.00, 90.00, 90.00 degrees
Atoms (fractional coordinates):
1 Be 0.0000 0.0000 0.0000
2 W 0.5000 0.5000 0.5000
3 N 0.0000 0.5000 0.0000
4 N 0.5000 0.0000 0.0000
5 F 0.0000 0.0000 0.5000

Values from the calculation:
V   8.85 A^3/atom
E_tot   -29.71 eV per formula unit